This record from Alexandria describes FeIrRh at its PBEsol-relaxed geometry. The functional is meta-GGA SCAN.

Structure (extended XYZ):
```
3
Lattice="4.057 0.000 0.000 2.028 3.513 0.000 2.028 1.171 3.312" Properties=species:S:1:pos:R:3 pbc="T T T"
Fe 0.000 0.000 0.000
Ir 4.057 2.342 1.656
Rh 2.028 1.171 0.828
```

The calculated formation energy comes out at 520.4 meV/atom. Its space group is F-43m, No. 216. The energy above the most stable polymorph in this dataset is 603.1 meV per atom. The value obtained for the raw total energy is -40.480 eV/atom. Its spin magnetization is 1.10 μB/atom.